No. 1
VASP calculation (GGA-PBEsol) on Zn2AgCl after structural relaxation.

```
Zn2AgCl
1.0
-3.160 -0.754 0.244
1.919 -0.218 2.420
-1.656 7.589 1.996
Zn Ag Cl
2 1 1
Cartesian
-1.247 5.713 1.503
-0.409 1.876 0.494
-2.408 3.418 1.120
-1.580 -0.377 0.122
```

## Properties
**Formation energy from raw total energies**: -0.07 eV per atom
**Total magnetization**: 0.00 μB/cell
**Density**: 6618 kg/m³
**Crystal system**: orthorhombic
**E_tot**: -8.76 eV for the cell shown
**D(E_F)**: 0.64 states/eV/cell

---

No. 2
VASP calculation (GGA-PBEsol) on Ta2CoPb after structural relaxation.

```
Ta2CoPb
1.0
3.061 0.000 0.000
0.000 4.872 -0.009
0.000 -1.629 4.592
Ta Co Pb
2 1 1
Cartesian
0.000 -0.814 2.296
0.000 2.436 -0.005
1.530 0.000 0.000
1.530 1.622 2.291
```

## Properties
**Total magnetization**: 1.17 μB/cell
**Density**: 15242 kg/m³
**Crystal system**: orthorhombic
**E_tot**: -34.95 eV for the cell shown
**D(E_F)**: 3.46 states/eV/cell

---

No. 3
VASP calculation (GGA-PBEsol) on Zr3As after structural relaxation.

```
Zr3As
1.0
5.406 0.000 0.000
0.000 10.894 0.000
0.000 0.000 10.894
Zr As
24 8
Cartesian
3.876 10.613 9.377
5.197 1.144 4.538
1.174 3.930 5.728
2.495 9.985 4.303
2.911 6.592 9.985
2.641 2.345 3.475
1.529 1.518 10.613
0.062 7.792 8.922
1.174 6.965 5.166
0.208 6.356 1.144
2.911 4.303 0.909
4.232 5.166 3.930
1.529 9.377 0.281
5.344 8.922 3.102
4.232 5.728 6.965
2.641 8.549 7.420
2.765 3.475 8.549
0.062 3.102 1.973
2.495 0.909 6.592
2.765 7.420 2.345
0.208 4.538 9.750
5.197 9.750 6.356
3.876 0.281 1.518
5.344 1.973 7.792
1.145 0.433 2.245
1.557 5.881 7.692
1.145 10.461 8.649
1.557 5.014 3.202
4.260 2.245 10.461
4.260 8.649 0.433
3.848 3.202 5.881
3.848 7.692 5.014
```

## Properties
**Total magnetization**: 0.00 μB/cell
**Density**: 7218 kg/m³
**Crystal system**: tetragonal
**E_tot**: -284.60 eV for the cell shown
**D(E_F)**: 27.56 states/eV/cell

---

No. 4
VASP calculation (GGA-PBEsol) on Ni2AsAu after structural relaxation.

```
Ni2AsAu
1.0
-1.347 -0.907 2.384
-0.358 -3.757 -1.631
3.978 -1.163 1.806
As Au Ni
1 1 2
Cartesian
1.732 -1.157 2.284
-0.102 -2.552 0.717
2.562 -2.680 0.429
0.070 -0.020 0.032
```

## Properties
**Total magnetization**: 0.00 μB/cell
**Density**: 12056 kg/m³
**Crystal system**: orthorhombic
**E_tot**: -21.47 eV for the cell shown
**D(E_F)**: 2.45 states/eV/cell

---

No. 5
VASP calculation (GGA-PBEsol) on Rb3FeMo after structural relaxation.

```
Rb3FeMo
1.0
6.893 0.000 0.000
0.000 6.893 0.000
0.000 0.000 6.893
Mo Rb Fe
1 3 1
Cartesian
0.000 0.000 0.000
3.447 0.000 0.000
0.000 0.000 3.447
0.000 3.447 0.000
3.447 3.447 3.447
```

## Properties
**Total magnetization**: 9.30 μB/cell
**Density**: 2069 kg/m³
**Crystal system**: cubic
**E_tot**: -13.51 eV for the cell shown
**D(E_F)**: 9.98 states/eV/cell

---

No. 6
VASP calculation (GGA-PBEsol) on Ti2AlF after structural relaxation.

```
Ti2AlF
1.0
-0.535 4.513 -1.980
-0.945 -2.048 -4.415
-4.848 -1.347 4.447
Ti Al F
4 2 2
Cartesian
-1.966 2.266 -2.022
-2.308 0.142 -3.747
-4.440 0.793 -0.096
-3.942 -0.965 1.970
-3.267 -1.081 -1.582
0.000 0.000 0.000
-0.740 1.233 -3.197
-3.062 2.200 -0.365
```

## Properties
**Formation energy from raw total energies**: -0.36 eV per atom
**Total magnetization**: 0.00 μB/cell
**Density**: 3343 kg/m³
**Crystal system**: tetragonal
**E_tot**: -48.22 eV for the cell shown
**D(E_F)**: 7.29 states/eV/cell